VASP calculation (PBE-GGA) on a relaxed structure of Y2CuRhO6.

For the density of states at the Fermi level, the calculation gives 5.3 states/eV/f.u. Its crystal system is trigonal. Its formation energy from raw total energies is -46.7 kcal/mol of atoms. Its calculated total energy is -74.36 eV/f.u.

The space group is R3 (No. 146, hexagonal axes) and the conventional cell measures 5.5327, 5.5327 and 13.8290 Å, with angles of 90.00, 90.00 and 120.00 degrees. Symmetry generates all atoms from Y at (0.0000, 0.0000, 0.0000), Y at (0.0000, 0.0000, 0.4974), Cu at (0.0000, 0.0000, 0.2233), Rh at (0.0000, 0.0000, 0.7168), O at (0.0666, 0.3483, 0.7895) and O at (0.0680, 0.7116, 0.2906).